The following is a GGA-PBE calculation of an optimized crystal structure of MoAs2Os, from the Alexandria database.

Offset from the most stable computed form in meV per atom: 112
Space group: R3m (160)
DFT total energy in eV per atom: -7.71
Formation energy from the elements in eV/atom: 0.133
Theoretical density in g cm⁻³: 9.467

Lattice parameters (Å, degrees): 10.4633 10.4633 10.4633 16.07 16.07 16.07
Closest atoms and distances in Å follow each position.
Fractional coordinates of all 4 atoms:
Os (0.7551, 0.7551, 0.7551)  3 As 2.55, 3 Mo 2.77
As (0.0268, 0.0268, 0.0268)  3 Os 2.55
As (0.2254, 0.2254, 0.2254)  3 Mo 2.65, 6 As 2.92
Mo (0.4928, 0.4928, 0.4928)  3 As 2.65, 3 Os 2.77, 6 Mo 2.92

The following is a GGA-PBE calculation of an optimized crystal structure of MoAs2Os, from the Alexandria database.

Offset from the most stable computed form in meV per atom: 125
Space group: Fm-3m (225)
DFT total energy in eV per atom: -7.69
Formation energy from the elements in eV/atom: 0.146
Theoretical density in g cm⁻³: 12.156

Lattice parameters (Å, degrees): 4.3835 4.3835 4.3835 60.00 60.00 60.00
Closest atoms and distances in Å follow each position.
Fractional coordinates of all 4 atoms:
As (0.2500, 0.2500, 0.2500)  4 Mo 2.68, 4 Os 2.68
Mo (0.0000, 0.0000, 0.0000)  8 As 2.68
As (0.7500, 0.7500, 0.7500)  4 Mo 2.68, 4 Os 2.68
Os (0.5000, 0.5000, 0.5000)  8 As 2.68

The following is a GGA-PBE calculation of an optimized crystal structure of MoAsOs, from the Alexandria database.

Offset from the most stable computed form in meV per atom: 103
Space group: P3m1 (156)
DFT total energy in eV per atom: -8.72
Formation energy from the elements in eV/atom: 0.183
Theoretical density in g cm⁻³: 12.973

Lattice parameters (Å, degrees): 2.8634 2.8634 6.5093 90.00 90.00 120.00
Closest atoms and distances in Å follow each position.
Fractional coordinates of all 3 atoms:
Os (0.6667, 0.3333, 0.6609)  3 Mo 2.66, 3 As 2.75, 6 Os 2.86
Mo (0.3333, 0.6667, 0.3414)  3 Os 2.66, 3 As 2.78, 6 Mo 2.86
As (0.0000, 0.0000, 0.9977)  3 Os 2.75, 3 Mo 2.78, 6 As 2.86

The following is a GGA-PBE calculation of an optimized crystal structure of MoAsOs3, from the Alexandria database.

Offset from the most stable computed form in meV per atom: 0
Space group: Pm-3m (221)
DFT total energy in eV per atom: -8.10
Formation energy from the elements in eV/atom: 1.734
Theoretical density in g cm⁻³: 13.644

Lattice parameters (Å, degrees): 4.4856 4.4856 4.4856 90.00 90.00 90.00
Closest atoms and distances in Å follow each position.
Fractional coordinates of all 5 atoms:
Os (0.0000, 0.0000, 0.5000)  2 As 2.24
Mo (0.5000, 0.5000, 0.5000)  12 Os 3.17
Os (0.0000, 0.5000, 0.0000)  2 As 2.24
As (0.0000, 0.0000, 0.0000)  6 Os 2.24
Os (0.5000, 0.0000, 0.0000)  2 As 2.24

The following is a GGA-PBE calculation of an optimized crystal structure of MoAs2Os, from the Alexandria database.

Offset from the most stable computed form in meV per atom: 404
Space group: Pmmm (47)
DFT total energy in eV per atom: -7.42
Formation energy from the elements in eV/atom: 0.425
Theoretical density in g cm⁻³: 11.231

Lattice parameters (Å, degrees): 3.8884 2.9859 5.5523 89.99 90.00 90.00
Closest atoms and distances in Å follow each position.
Fractional coordinates of all 4 atoms:
As (0.0000, 0.7504, 0.0158)  2 Os 2.44, 1 As 2.60
Os (0.5000, 0.7500, 0.7500)  4 As 2.44
As (0.0000, 0.7496, 0.4842)  2 Os 2.44, 1 As 2.60
Mo (0.5000, 0.2500, 0.2500)  8 As 2.77-2.78, 2 Mo 2.99

The following is a GGA-PBE calculation of an optimized crystal structure of Mo4AsOs, from the Alexandria database.

Space group: F-43m (216)
DFT total energy in eV per atom: -9.23
Formation energy from the elements in eV/atom: 0.640
Theoretical density in g cm⁻³: 10.963

Lattice parameters (Å, degrees): 5.1801 5.1801 5.1801 60.00 60.00 60.00
Closest atoms and distances in Å follow each position.
Fractional coordinates of all 6 atoms:
Mo (0.8780, 0.3740, 0.3740)  6 Mo 2.57-2.61
Mo (0.3740, 0.8780, 0.3740)  6 Mo 2.57-2.61
Mo (0.3740, 0.3740, 0.8780)  6 Mo 2.57-2.61
Os (0.7500, 0.7500, 0.7500)  12 Mo 3.04, 4 As 3.17
As (0.0000, 0.0000, 0.0000)  12 Mo 3.03, 4 Os 3.17
Mo (0.3740, 0.3740, 0.3740)  6 Mo 2.57-2.61

The following is a GGA-PBE calculation of an optimized crystal structure of MoAsOs, from the Alexandria database.

Offset from the most stable computed form in meV per atom: 10
Space group: P-6m2 (187)
DFT total energy in eV per atom: -8.81
Formation energy from the elements in eV/atom: 0.090
Theoretical density in g cm⁻³: 13.252

Lattice parameters (Å, degrees): 4.2749 4.2749 2.8590 90.00 90.00 120.00
Closest atoms and distances in Å follow each position.
Fractional coordinates of all 3 atoms:
Mo (0.6667, 0.3333, 0.3332)  6 Os 2.85, 6 As 2.85, 2 Mo 2.86
Os (0.3333, 0.6667, 0.8335)  3 As 2.47
As (0.0000, 0.0000, 0.8333)  3 Os 2.47

The following is a GGA-PBE calculation of an optimized crystal structure of MoAsOs, from the Alexandria database.

Offset from the most stable computed form in meV per atom: 22
Space group: I4mm (107)
DFT total energy in eV per atom: -8.80
Formation energy from the elements in eV/atom: 0.101
Theoretical density in g cm⁻³: 13.368

Lattice parameters (Å, degrees): 5.4913 5.4913 5.4913 148.58 148.58 45.03
Closest atoms and distances in Å follow each position.
Fractional coordinates of all 3 atoms:
As (0.0012, 0.0012, 0.0000)  4 Os 2.66, 4 Mo 2.69, 4 As 2.97
Mo (0.3366, 0.3366, 0.0000)  4 As 2.69, 4 Os 2.75, 4 Mo 2.97
Os (0.6622, 0.6622, 0.0000)  4 As 2.66, 4 Mo 2.75, 4 Os 2.97

The following is a GGA-PBE calculation of an optimized crystal structure of MoAs2Os, from the Alexandria database.

Offset from the most stable computed form in meV per atom: 582
Space group: I-42d (122)
DFT total energy in eV per atom: -7.24
Formation energy from the elements in eV/atom: 0.603
Theoretical density in g cm⁻³: 8.233

Lattice parameters (Å, degrees): 5.6690 5.6690 6.7836 65.30 65.30 90.00
Closest atoms and distances in Å follow each position.
Fractional coordinates of all 8 atoms:
Mo (0.5000, 0.5000, 0.0000)  4 As 2.48
Mo (0.2500, 0.7500, 0.5000)  4 As 2.48
As (0.1085, 0.6250, 0.2500)  2 Os 2.37, 2 Mo 2.48
As (0.3750, 0.3585, 0.7500)  2 Os 2.37, 2 Mo 2.48
As (0.8750, 0.8915, 0.7500)  2 Os 2.37, 2 Mo 2.48
As (0.6415, 0.1250, 0.2500)  2 Os 2.37, 2 Mo 2.48
Os (0.0000, 0.0000, 0.0000)  4 As 2.37
Os (0.7500, 0.2500, 0.5000)  4 As 2.37

The following is a GGA-PBE calculation of an optimized crystal structure of Mo2As4Os, from the Alexandria database.

Space group: I4/mmm (139)
DFT total energy in eV per atom: -6.53
Formation energy from the elements in eV/atom: 0.822
Theoretical density in g cm⁻³: 7.733

Lattice parameters (Å, degrees): 4.8582 4.8582 7.0909 69.97 69.97 90.00
Closest atoms and distances in Å follow each position.
Fractional coordinates of all 7 atoms:
Mo (0.3995, 0.3995, 0.2010)  1 As 2.43, 1 Mo 2.49
As (0.7964, 0.7964, 0.4072)  1 Mo 2.43, 1 Os 2.53
Os (0.0000, 0.0000, 0.0000)  6 As 2.43-2.53
As (0.0000, 0.5000, 0.0000)  2 Os 2.43
Mo (0.6005, 0.6005, 0.7990)  1 As 2.43, 1 Mo 2.49
As (0.2036, 0.2036, 0.5928)  1 Mo 2.43, 1 Os 2.53
As (0.5000, 0.0000, 0.0000)  2 Os 2.43

The following is a GGA-PBE calculation of an optimized crystal structure of MoAs2Os, from the Alexandria database.

Offset from the most stable computed form in meV per atom: 235
Space group: C2/m (12)
DFT total energy in eV per atom: -7.58
Formation energy from the elements in eV/atom: 0.256
Theoretical density in g cm⁻³: 11.691

Lattice parameters (Å, degrees): 4.2831 4.2831 5.2916 78.35 78.35 40.79
Closest atoms and distances in Å follow each position.
Fractional coordinates of all 4 atoms:
Os (0.2500, 0.2500, 0.2500)  6 As 2.60-2.64
As (0.5024, 0.5024, 0.4964)  3 Os 2.60-2.64, 3 Mo 2.63-2.64
As (0.9976, 0.9976, 0.0036)  3 Os 2.60-2.64, 3 Mo 2.63-2.64
Mo (0.7500, 0.7500, 0.7500)  6 As 2.63-2.64

The following is a GGA-PBE calculation of an optimized crystal structure of MoAs2Os, from the Alexandria database.

Offset from the most stable computed form in meV per atom: 103
Space group: P4/mmm (123)
DFT total energy in eV per atom: -7.72
Formation energy from the elements in eV/atom: 0.124
Theoretical density in g cm⁻³: 12.153

Lattice parameters (Å, degrees): 4.3786 4.3786 3.1074 90.00 90.00 90.00
Closest atoms and distances in Å follow each position.
Fractional coordinates of all 4 atoms:
Os (0.0000, 0.5000, 0.5000)  8 As 2.68
Mo (0.5000, 0.0000, 0.5000)  8 As 2.68
As (0.0000, 0.0000, 0.0000)  4 Os 2.68, 4 Mo 2.68
As (0.5000, 0.5000, 0.0000)  4 Mo 2.68, 4 Os 2.68

The following is a GGA-PBE calculation of an optimized crystal structure of MoAs2Os, from the Alexandria database.

Offset from the most stable computed form in meV per atom: 0
Space group: P4mm (99)
DFT total energy in eV per atom: -7.82
Formation energy from the elements in eV/atom: 0.021
Theoretical density in g cm⁻³: 10.309

Lattice parameters (Å, degrees): 2.9127 2.9127 8.2780 90.00 90.00 90.00
Closest atoms and distances in Å follow each position.
Fractional coordinates of all 4 atoms:
Os (0.5000, 0.5000, 0.7408)  4 As 2.62, 4 Mo 2.74, 4 Os 2.91
Mo (0.0000, 0.0000, 0.5229)  4 Os 2.74, 4 As 2.76, 4 Mo 2.91
As (0.5000, 0.5000, 0.3006)  4 Mo 2.76, 4 As 2.91
As (0.0000, 0.0000, 0.9357)  4 Os 2.62, 4 As 2.91

The following is a GGA-PBE calculation of an optimized crystal structure of MoAsOs3, from the Alexandria database.

Offset from the most stable computed form in meV per atom: 562
Space group: Pm-3m (221)
DFT total energy in eV per atom: -7.54
Formation energy from the elements in eV/atom: 2.296
Theoretical density in g cm⁻³: 11.892

Lattice parameters (Å, degrees): 4.6959 4.6959 4.6959 90.00 90.00 90.00
Closest atoms and distances in Å follow each position.
Fractional coordinates of all 5 atoms:
Mo (0.0000, 0.0000, 0.0000)  6 Os 2.35
Os (0.5000, 0.0000, 0.0000)  2 Mo 2.35
Os (0.0000, 0.0000, 0.5000)  2 Mo 2.35
As (0.5000, 0.5000, 0.5000)  12 Os 3.32
Os (0.0000, 0.5000, 0.0000)  2 Mo 2.35

The following is a GGA-PBE calculation of an optimized crystal structure of MoAsOs, from the Alexandria database.

Offset from the most stable computed form in meV per atom: 0
Space group: F-43m (216)
DFT total energy in eV per atom: -8.82
Formation energy from the elements in eV/atom: 0.080
Theoretical density in g cm⁻³: 11.457

Lattice parameters (Å, degrees): 4.1986 4.1986 4.1986 60.00 60.00 60.00
Closest atoms and distances in Å follow each position.
Fractional coordinates of all 3 atoms:
As (0.0000, 0.0000, 0.0000)  4 Os 2.57
Os (0.7500, 0.7500, 0.7500)  4 Mo 2.57, 4 As 2.57
Mo (0.5000, 0.5000, 0.5000)  4 Os 2.57

The following is a GGA-PBE calculation of an optimized crystal structure of MoAsOsSe2, from the Alexandria database.

Offset from the most stable computed form in meV per atom: 212
E_form (uncorrected) in eV per atom: 1.36
Space group: P4/mmm (123)
DFT total energy in eV per atom: -5.38
Theoretical density in g cm⁻³: 7.483

Lattice parameters (Å, degrees): 4.8131 4.8131 4.9717 90.00 90.00 90.00
Closest atoms and distances in Å follow each position.
Fractional coordinates of all 5 atoms:
Os (0.5000, 0.5000, 0.5000)  4 As 3.40, 8 Se 3.46
As (0.0000, 0.0000, 0.5000)  2 Mo 2.49
Se (0.5000, 0.0000, 0.0000)  2 Mo 2.41
Mo (0.0000, 0.0000, 0.0000)  4 Se 2.41, 2 As 2.49
Se (0.0000, 0.5000, 0.0000)  2 Mo 2.41

The following is a GGA-PBE calculation of an optimized crystal structure of MoAs2OsSe, from the Alexandria database.

Offset from the most stable computed form in meV per atom: 0
E_form (uncorrected) in eV per atom: 1.11
Space group: P4/mmm (123)
DFT total energy in eV per atom: -5.86
Theoretical density in g cm⁻³: 7.360

Lattice parameters (Å, degrees): 4.6371 4.6371 5.4036 90.00 90.00 90.00
Closest atoms and distances in Å follow each position.
Fractional coordinates of all 5 atoms:
Os (0.0000, 0.0000, 0.0000)  4 As 2.32
As (0.5000, 0.0000, 0.0000)  2 Os 2.32
Mo (0.5000, 0.5000, 0.5000)  4 Se 3.28, 8 As 3.56
Se (0.0000, 0.0000, 0.5000)  2 Os 2.70
As (0.0000, 0.5000, 0.0000)  2 Os 2.32

The following is a GGA-PBE calculation of an optimized crystal structure of MoAs2OsSe, from the Alexandria database.

Offset from the most stable computed form in meV per atom: 271
E_form (uncorrected) in eV per atom: 1.38
Space group: P4/mmm (123)
DFT total energy in eV per atom: -5.58
Theoretical density in g cm⁻³: 7.583

Lattice parameters (Å, degrees): 4.8698 4.8698 4.7552 90.00 90.00 90.00
Closest atoms and distances in Å follow each position.
Fractional coordinates of all 5 atoms:
Se (0.0000, 0.0000, 0.5000)  2 Mo 2.38
Mo (0.0000, 0.0000, 0.0000)  2 Se 2.38, 4 As 2.43
As (0.0000, 0.5000, 0.0000)  2 Mo 2.43
As (0.5000, 0.0000, 0.0000)  2 Mo 2.43
Os (0.5000, 0.5000, 0.5000)  8 As 3.40, 4 Se 3.44

The following is a GGA-PBE calculation of an optimized crystal structure of MoAsOsSe2, from the Alexandria database.

Offset from the most stable computed form in meV per atom: 0
E_form (uncorrected) in eV per atom: 1.15
Space group: P4/mmm (123)
DFT total energy in eV per atom: -5.59
Theoretical density in g cm⁻³: 7.422

Lattice parameters (Å, degrees): 5.0382 5.0382 4.5749 90.00 90.00 90.00
Closest atoms and distances in Å follow each position.
Fractional coordinates of all 5 atoms:
Se (0.0000, 0.5000, 0.0000)  2 Os 2.52
Os (0.0000, 0.0000, 0.0000)  2 As 2.29, 4 Se 2.52
Mo (0.5000, 0.5000, 0.5000)  8 Se 3.40, 4 As 3.56
Se (0.5000, 0.0000, 0.0000)  2 Os 2.52
As (0.0000, 0.0000, 0.5000)  2 Os 2.29

The following is a GGA-PBE calculation of an optimized crystal structure of SrMo2AsOs, from the Alexandria database.

Offset from the most stable computed form in meV per atom: 0
Space group: P4/mmm (123)
DFT total energy in eV per atom: -6.65
Formation energy from the elements in eV/atom: 1.191
Theoretical density in g cm⁻³: 6.957

Lattice parameters (Å, degrees): 4.7466 5.7698 4.7466 90.00 90.00 90.00
Closest atoms and distances in Å follow each position.
Fractional coordinates of all 5 atoms:
Sr (0.0000, 0.5000, 0.0000)  2 Os 2.88
As (0.5000, 0.5000, 0.5000)  4 Sr 3.36, 8 Mo 3.74
Os (0.0000, 0.0000, 0.0000)  4 Mo 2.37
Mo (0.0000, 0.0000, 0.5000)  2 Os 2.37
Mo (0.5000, 0.0000, 0.0000)  2 Os 2.37